[1]
The following is a PBE-GGA calculation of a relaxed structure of Mn2CoRu, from Alexandria.

The calculation puts the energy relative to the elements at 200 meV/atom. The value obtained for the total magnetization is 25.54 Bohr magnetons per cell. The energy is -135.7 eV per cell.

The structure belongs to space group F-43m (No. 216); the cell edges are 5.822, 5.822 and 5.822 Å and the angles 90.00°, 90.00° and 90.00°. The inequivalent atoms are Mn at (0.000, 0.000, 0.000), Mn at (0.250, 0.250, 0.250), Co at (0.000, 0.000, 0.500) and Ru at (0.250, 0.250, 0.750).

[2]
The following is a PBE-GGA calculation of a relaxed structure of Mn2CoRu, from Alexandria.

The calculation puts the energy relative to the elements at 113 meV/atom. The value obtained for the total magnetization is 4.11 Bohr magnetons per cell. The energy is -68.5 eV per cell.

The structure belongs to space group C2/m (No. 12); the cell edges are 8.390, 2.561 and 4.399 Å and the angles 90.00°, 99.77° and 90.00°. The inequivalent atoms are Mn at (0.247, 0.000, 0.235), Co at (0.000, 0.500, 0.000) and Ru at (0.000, 0.000, 0.500).

[3]
The following is a PBE-GGA calculation of a relaxed structure of Mn2CoRu, from Alexandria.

The calculation puts the energy relative to the elements at 104 meV/atom. The value obtained for the total magnetization is 2.20 Bohr magnetons per cell. The energy is -68.6 eV per cell.

The structure belongs to space group Amm2 (No. 38); the cell edges are 3.908, 2.575 and 9.387 Å and the angles 90.00°, 90.00° and 90.00°. The inequivalent atoms are Mn at (0.000, 0.000, 0.000), Mn at (0.500, 0.000, 0.125), Co at (0.500, 0.000, 0.392) and Ru at (0.000, 0.000, 0.742).